Entry 1:
Material: InSnPb3
Method: DFT, PBE
State: optimized geometry

Lattice parameters (Å, degrees): 5.8596 5.8596 5.8596 90.00 90.00 90.00
Fractional positions:
In 0.0000 0.0000 0.0000
Sn 0.5000 0.5000 0.5000
Pb 0.0000 0.5000 0.5000
Pb 0.5000 0.0000 0.5000
Pb 0.5000 0.5000 0.0000

Computed properties:
Formation energy from the elements ... 0.51 eV per atom
Calculated volume ... 201.19 Å³ per cell
D(E_F) ... 0.87 states/eV per atom
Space group ... Pm-3m
Excess energy over the best structure of this formula in the dataset ... 2.37 eV/f.u.
Total energy ... -3.062 eV/atom



Entry 2:
Material: InSn2Pb9
Method: DFT, PBE
State: optimized geometry

Lattice parameters (Å, degrees): 6.0171 6.0171 10.2428 90.00 90.00 90.00
Fractional positions:
In 0.0000 0.0000 0.0000
Sn 0.0000 0.0000 0.3303
Sn 0.0000 0.0000 0.6697
Pb 0.0000 0.5000 0.1687
Pb 0.0000 0.5000 0.5000
Pb 0.0000 0.5000 0.8313
Pb 0.5000 0.0000 0.1687
Pb 0.5000 0.0000 0.5000
Pb 0.5000 0.0000 0.8313
Pb 0.5000 0.5000 0.0000
Pb 0.5000 0.5000 0.3342
Pb 0.5000 0.5000 0.6658

Computed properties:
Formation energy from the elements ... 0.05 eV per atom
Calculated volume ... 370.84 Å³ per cell
D(E_F) ... 0.49 states/eV per atom
Space group ... P4/mmm
Total energy ... -3.628 eV/atom



Entry 3:
Material: InSnPb4
Method: DFT, PBE
State: optimized geometry

Lattice parameters (Å, degrees): 6.5093 6.5093 6.5093 60.00 60.00 60.00
Fractional positions:
In 0.0000 0.0000 0.0000
Sn 0.7500 0.7500 0.7500
Pb 0.3748 0.3748 0.3748
Pb 0.3748 0.3748 0.8755
Pb 0.3748 0.8755 0.3748
Pb 0.8755 0.3748 0.3748

Computed properties:
Formation energy from the elements ... 0.17 eV per atom
Calculated volume ... 195.02 Å³ per cell
D(E_F) ... 0.55 states/eV per atom
Space group ... F-43m
Excess energy over the best structure of this formula in the dataset ... 0.93 eV/f.u.
Total energy ... -3.428 eV/atom



Entry 4:
Material: InSn12Pb6
Method: DFT, PBE
State: optimized geometry

Lattice parameters (Å, degrees): 8.3329 8.3329 8.3329 93.03 93.03 93.03
Fractional positions:
In 0.0000 0.0000 0.0000
Sn 0.1462 0.7777 0.2572
Sn 0.2015 0.5340 0.5208
Sn 0.2223 0.7428 0.8538
Sn 0.2572 0.1462 0.7777
Sn 0.4660 0.4792 0.7985
Sn 0.4792 0.7985 0.4660
Sn 0.5208 0.2015 0.5340
Sn 0.5340 0.5208 0.2015
Sn 0.7428 0.8538 0.2223
Sn 0.7777 0.2572 0.1462
Sn 0.7985 0.4660 0.4792
Sn 0.8538 0.2223 0.7428
Pb 0.0761 0.1700 0.4124
Pb 0.1700 0.4124 0.0761
Pb 0.4123 0.0761 0.1700
Pb 0.5876 0.9239 0.8300
Pb 0.8300 0.5877 0.9239
Pb 0.9239 0.8300 0.5877

Computed properties:
Formation energy from the elements ... 0.09 eV per atom
Calculated volume ... 576.09 Å³ per cell
D(E_F) ... 0.54 states/eV per atom
Space group ... R-3
Total energy ... -3.752 eV/atom



Entry 5:
Material: In4SnPb
Method: DFT, PBE
State: optimized geometry

Lattice parameters (Å, degrees): 5.9201 10.4558 5.6307 90.00 104.02 90.00
Fractional positions:
In 0.0000 0.1654 0.0000
In 0.0000 0.3305 0.5000
In 0.0000 0.6695 0.5000
In 0.0000 0.8346 0.0000
In 0.5000 0.1695 0.5000
In 0.5000 0.3346 0.0000
In 0.5000 0.6654 0.0000
In 0.5000 0.8305 0.5000
Sn 0.0000 0.0000 0.5000
Sn 0.5000 0.5000 0.5000
Pb 0.0000 0.5000 0.0000
Pb 0.5000 0.0000 0.0000

Computed properties:
Formation energy from the elements ... 0.02 eV per atom
Calculated volume ... 338.16 Å³ per cell
D(E_F) ... 0.40 states/eV per atom
Space group ... C2/m
Excess energy over the best structure of this formula in the dataset ... 0.00 eV/f.u.
Total energy ... -3.094 eV/atom



Entry 6:
Material: InSn3Pb
Method: DFT, PBE
State: optimized geometry

Lattice parameters (Å, degrees): 7.5020 7.5020 7.5020 62.16 62.16 62.16
Fractional positions:
In 0.0811 0.0811 0.0811
In 0.9189 0.9189 0.9189
Sn 0.0864 0.7480 0.5195
Sn 0.2520 0.4805 0.9136
Sn 0.4805 0.9136 0.2520
Sn 0.5195 0.0864 0.7480
Sn 0.7480 0.5195 0.0864
Sn 0.9136 0.2520 0.4805
Pb 0.3441 0.3441 0.3441
Pb 0.6559 0.6559 0.6559

Computed properties:
Formation energy from the elements ... 0.12 eV per atom
Calculated volume ... 312.97 Å³ per cell
D(E_F) ... 0.54 states/eV per atom
Space group ... R-3
Excess energy over the best structure of this formula in the dataset ... 0.27 eV/f.u.
Total energy ... -3.567 eV/atom



Entry 7:
Material: InSn3Pb
Method: DFT, PBE
State: optimized geometry

Lattice parameters (Å, degrees): 12.5495 4.2015 11.3442 90.00 90.00 90.00
Fractional positions:
In 0.2458 0.2500 0.0084
In 0.2542 0.7500 0.5084
In 0.7458 0.2500 0.4916
In 0.7542 0.7500 0.9916
Sn 0.0713 0.2500 0.6103
Sn 0.1095 0.2500 0.3289
Sn 0.1410 0.7500 0.8037
Sn 0.3590 0.2500 0.3037
Sn 0.3905 0.7500 0.8289
Sn 0.4287 0.7500 0.1103
Sn 0.5713 0.2500 0.8897
Sn 0.6095 0.2500 0.1711
Sn 0.6410 0.7500 0.6963
Sn 0.8590 0.2500 0.1963
Sn 0.8905 0.7500 0.6711
Sn 0.9287 0.7500 0.3897
Pb 0.0558 0.7500 0.1044
Pb 0.4442 0.2500 0.6044
Pb 0.5558 0.7500 0.3956
Pb 0.9442 0.2500 0.8956

Computed properties:
Formation energy from the elements ... 0.07 eV per atom
Calculated volume ... 598.14 Å³ per cell
D(E_F) ... 0.51 states/eV per atom
Space group ... Pnma
Excess energy over the best structure of this formula in the dataset ... 0.00 eV/f.u.
Total energy ... -3.622 eV/atom



Entry 8:
Material: In2SnPb8
Method: DFT, PBE
State: optimized geometry

Lattice parameters (Å, degrees): 6.1624 6.1644 9.0571 88.78 80.39 82.15
Fractional positions:
In 0.1312 0.2213 0.4560
In 0.8688 0.7787 0.5440
Sn 0.5000 0.5000 0.0000
Pb 0.0464 0.4186 0.8178
Pb 0.2250 0.0449 0.0919
Pb 0.3289 0.8688 0.7241
Pb 0.4022 0.6678 0.3589
Pb 0.5978 0.3322 0.6411
Pb 0.6711 0.1312 0.2759
Pb 0.7750 0.9551 0.9081
Pb 0.9536 0.5814 0.1822

Computed properties:
Formation energy from the elements ... 0.01 eV per atom
Calculated volume ... 336.05 Å³ per cell
D(E_F) ... 0.44 states/eV per atom
Space group ... P-1
Excess energy over the best structure of this formula in the dataset ... 0.00 eV/f.u.
Total energy ... -3.548 eV/atom



Entry 9:
Material: InSn2Pb8
Method: DFT, PBE
State: optimized geometry

Lattice parameters (Å, degrees): 9.1862 9.1862 7.7643 104.31 104.31 31.97
Fractional positions:
In 0.0000 0.0000 0.0000
Sn 0.2708 0.2708 0.3679
Sn 0.7292 0.7292 0.6321
Pb 0.0944 0.0944 0.4548
Pb 0.1819 0.1819 0.9086
Pb 0.3630 0.3630 0.8173
Pb 0.4536 0.4536 0.2712
Pb 0.5464 0.5464 0.7288
Pb 0.6370 0.6370 0.1827
Pb 0.8181 0.8181 0.0914
Pb 0.9056 0.9056 0.5452

Computed properties:
Formation energy from the elements ... 0.03 eV per atom
Calculated volume ... 335.26 Å³ per cell
D(E_F) ... 0.66 states/eV per atom
Space group ... C2/m
Excess energy over the best structure of this formula in the dataset ... 0.00 eV/f.u.
Total energy ... -3.644 eV/atom



Entry 10:
Material: In15Sn2Pb2
Method: DFT, PBE
State: optimized geometry

Lattice parameters (Å, degrees): 8.7642 8.7642 8.7642 67.74 67.74 67.74
Fractional positions:
In 0.0000 0.0000 0.5000
In 0.0000 0.3103 0.6897
In 0.0000 0.5000 0.0000
In 0.0000 0.6897 0.3103
In 0.1704 0.5953 0.5953
In 0.3103 0.0000 0.6897
In 0.3103 0.6897 0.0000
In 0.4047 0.4047 0.8296
In 0.4047 0.8296 0.4047
In 0.5000 0.0000 0.0000
In 0.5953 0.1704 0.5953
In 0.5953 0.5953 0.1704
In 0.6897 0.0000 0.3103
In 0.6897 0.3103 0.0000
In 0.8296 0.4047 0.4047
Sn 0.3394 0.3394 0.3394
Sn 0.6606 0.6606 0.6606
Pb 0.0995 0.0995 0.0995
Pb 0.9005 0.9005 0.9005

Computed properties:
Formation energy from the elements ... 0.10 eV per atom
Calculated volume ... 554.43 Å³ per cell
D(E_F) ... 0.42 states/eV per atom
Space group ... R-3m
Total energy ... -2.877 eV/atom



Entry 11:
Material: InSn2Pb3
Method: DFT, PBE
State: optimized geometry

Lattice parameters (Å, degrees): 5.8176 10.2825 5.9772 90.00 90.00 90.00
Fractional positions:
In 0.0000 0.0000 0.0000
In 0.5000 0.5000 0.0000
Sn 0.0000 0.3299 0.0000
Sn 0.0000 0.6701 0.0000
Sn 0.5000 0.1701 0.0000
Sn 0.5000 0.8299 0.0000
Pb 0.0000 0.1674 0.5000
Pb 0.0000 0.5000 0.5000
Pb 0.0000 0.8326 0.5000
Pb 0.5000 0.0000 0.5000
Pb 0.5000 0.3326 0.5000
Pb 0.5000 0.6674 0.5000

Computed properties:
Formation energy from the elements ... 0.05 eV per atom
Calculated volume ... 357.56 Å³ per cell
D(E_F) ... 0.44 states/eV per atom
Space group ... Cmmm
Excess energy over the best structure of this formula in the dataset ... 0.11 eV/f.u.
Total energy ... -3.596 eV/atom



Entry 12:
Material: In5Sn3Pb3
Method: DFT, PBE
State: optimized geometry

Lattice parameters (Å, degrees): 9.5604 9.5604 4.6595 90.00 90.00 120.00
Fractional positions:
In 0.0000 0.3696 0.0000
In 0.3333 0.6667 0.0000
In 0.3696 0.0000 0.0000
In 0.6304 0.6304 0.0000
In 0.6667 0.3333 0.0000
Sn 0.0000 0.8085 0.0000
Sn 0.1915 0.1915 0.0000
Sn 0.8085 0.0000 0.0000
Pb 0.0000 0.5946 0.5000
Pb 0.4054 0.4054 0.5000
Pb 0.5946 0.0000 0.5000

Computed properties:
Formation energy from the elements ... 0.18 eV per atom
Calculated volume ... 368.83 Å³ per cell
D(E_F) ... 0.47 states/eV per atom
Space group ... P-62m
Total energy ... -3.163 eV/atom



- What is the calculated volume in the sixth record?
  312.97 Å³ per cell



- Among the records above, which one has the lowest D(E_F)?
  In4SnPb